<one>
TaCo2Au | Alexandria | GGA-PBE | relaxed; symmetry = I4/mmm; mass density = 14.831 g cm⁻³
1.0
3.9976 0.0000 0.0000
0.0000 3.9976 0.0000
0.0000 0.0000 6.9471
Ta Co Au
2 4 2
Direct
0.0000 0.0000 0.0000
0.5000 0.5000 0.5000
0.0000 0.5000 0.2500
0.0000 0.5000 0.7500
0.5000 0.0000 0.2500
0.5000 0.0000 0.7500
0.0000 0.0000 0.5000
0.5000 0.5000 0.0000



<two>
TaCo2Au | Alexandria | GGA-PBE | relaxed; symmetry = Pmm2; mass density = 14.363 g cm⁻³
1.0
2.8359 0.0000 0.0000
0.0000 3.6886 0.0000
0.0000 0.0000 5.4795
Ta Co Au
1 2 1
Direct
0.0000 0.0000 0.0000
0.0000 0.0000 0.5629
0.5000 0.5000 0.7697
0.5000 0.5000 0.3000



It is <one> that is most stable; the runner-up trails by 9.4 kJ/mol of atoms.



<one>
LiMgTa | Alexandria | GGA-PBE | relaxed; symmetry = Pmn2_1; mass density = 6.074 g cm⁻³
1.0
3.9944 0.0000 0.0000
0.0000 9.6653 0.0000
0.0000 0.0000 3.0053
Li Mg Ta
2 2 2
Direct
0.0000 0.0856 0.0000
0.5000 0.9144 0.5000
0.0000 0.7539 0.9959
0.5000 0.2461 0.4959
0.0000 0.4305 0.9970
0.5000 0.5695 0.4970



<two>
LiMgTa | Alexandria | GGA-PBE | relaxed; symmetry = P-1; mass density = 6.331 g cm⁻³
1.0
2.9296 0.0000 0.0000
-1.4640 5.1023 0.0000
-0.0150 -2.2540 7.4466
Li Mg Ta
2 2 2
Direct
0.1924 0.3869 0.1373
0.8076 0.6131 0.8627
0.4737 0.9500 0.1990
0.5263 0.0500 0.8010
0.1429 0.2857 0.5324
0.8571 0.7143 0.4676



It is <one> that is most stable; the runner-up trails by 7.5 kJ/mol of atoms.



<one>
ZnAg2Te | Alexandria | GGA-PBE | relaxed; symmetry = Cmm2; mass density = 8.042 g cm⁻³
1.0
4.3511 0.0000 0.0000
0.0000 4.4123 0.0000
0.0000 0.0000 8.7930
Zn Ag Te
2 4 2
Direct
0.0000 0.0000 0.0000
0.5000 0.5000 0.0000
0.0000 0.0000 0.4121
0.0000 0.5000 0.1870
0.5000 0.0000 0.1870
0.5000 0.5000 0.4121
0.0000 0.5000 0.6935
0.5000 0.0000 0.6935



<two>
ZnAg2Te | Alexandria | GGA-PBE | relaxed; symmetry = I-4m2; mass density = 8.300 g cm⁻³
1.0
4.2921 0.0000 0.0000
0.0000 4.2921 0.0000
0.0000 0.0000 8.8779
Zn Ag Te
2 4 2
Direct
0.0000 0.0000 0.0000
0.5000 0.5000 0.5000
0.0000 0.0000 0.5000
0.0000 0.5000 0.7500
0.5000 0.0000 0.2500
0.5000 0.5000 0.0000
0.0000 0.5000 0.2500
0.5000 0.0000 0.7500



It is <two> that is most stable; the runner-up trails by 3.6 kJ/mol of atoms.